[1]
## SrTa2Cd (PBE)

Data for an optimized crystal structure of SrTa2Cd.

As for the space group: P4/mmm, No. 123. As for the calculated formation energy: 1274 meV per atom.

Geometry as POSCAR:
```
SrTa2Cd
1.0
-0.992 4.050 2.742
-4.053 -2.247 1.853
1.955 -1.328 2.668
Cd Sr Ta
1 1 2
direct
0.500 0.000 0.500
0.000 0.500 0.500
0.000 0.000 0.000
0.500 0.500 0.000
```



[2]
## TbIn2Au8 (PBE)

Data for an optimized crystal structure of TbIn2Au8.

As for the space group: C2/m, No. 12. For the relative energy among the computed polymorphs, the calculation gives 0.0089 eV/atom. As for the calculated formation energy: -302 meV per atom.

Geometry as POSCAR:
```
TbIn2Au8
1.0
-4.197 0.772 -0.734
-0.888 -6.544 -1.806
0.818 -0.274 7.808
Tb In Au
1 2 8
direct
0.500 0.000 0.000
0.774 0.341 0.549
0.226 0.659 0.451
0.405 0.540 0.809
0.682 0.906 0.364
0.864 0.810 0.728
0.958 0.276 0.916
0.136 0.190 0.272
0.318 0.094 0.636
0.595 0.460 0.191
0.042 0.724 0.084
```



[3]
## Mn2VNi (PBE)

Data for an optimized crystal structure of Mn2VNi.

As for the space group: P4/mmm, No. 123. For the relative energy among the computed polymorphs, the calculation gives 0.0615 eV/atom. As for the calculated formation energy: -51 meV per atom.

Geometry as POSCAR:
```
Mn2VNi
1.0
-3.531 0.335 -0.761
0.503 -1.671 -3.066
-0.634 -3.090 1.580
Ni Mn V
1 2 1
direct
0.500 0.000 0.000
0.000 0.000 0.500
0.000 0.500 0.000
0.500 0.500 0.500
```



[4]
## ScTl2In (PBE)

Data for an optimized crystal structure of ScTl2In.

As for the space group: R-3m, No. 166. As for the calculated formation energy: -36 meV per atom.

Geometry as POSCAR:
```
ScTl2In
1.0
10.434 0.031 0.018
9.852 3.436 0.018
9.852 1.684 2.995
In Sc Tl
1 1 2
direct
0.250 0.250 0.250
0.750 0.750 0.750
0.004 0.004 0.004
0.496 0.496 0.496
```



[5]
## Zr5Mn4 (PBE)

Data for an optimized crystal structure of Zr5Mn4.

As for the space group: I4/mmm, No. 139. For the relative energy among the computed polymorphs, the calculation gives 0.1426 eV/atom. As for the calculated formation energy: 220 meV per atom.

Geometry as POSCAR:
```
Zr5Mn4
1.0
-3.287 -3.623 -4.400
0.055 1.469 6.413
-2.217 5.840 -2.065
Zr Mn
5 4
direct
0.000 0.000 0.000
0.674 0.674 0.348
0.326 0.674 0.000
0.674 0.326 0.000
0.326 0.326 0.652
0.648 0.000 0.648
0.352 0.000 0.352
0.000 0.648 0.648
0.000 0.352 0.352
```



[6]
## LiSb2Rh (PBE)

Data for an optimized crystal structure of LiSb2Rh.

As for the space group: I-42d, No. 122. For the relative energy among the computed polymorphs, the calculation gives 0.1236 eV/atom. As for the uncorrected formation energy: -0.2275 eV per atom.

Geometry as POSCAR:
```
LiSb2Rh
1.0
-5.118 -0.922 -7.176
-1.855 -8.329 2.393
-5.380 -3.845 -1.142
Sb Rh Li
4 2 2
direct
0.736 0.125 0.250
0.014 0.625 0.250
0.375 0.264 0.750
0.875 0.986 0.750
0.000 0.000 0.000
0.750 0.250 0.500
0.500 0.500 0.000
0.250 0.750 0.500
```



[7]
## SmAlSn2 (PBE)

Data for an optimized crystal structure of SmAlSn2.

As for the space group: R-3m, No. 166. As for the calculated formation energy: 404 meV per atom.

Geometry as POSCAR:
```
SmAlSn2
1.0
-0.248 3.699 -3.543
2.325 -0.625 -4.527
-5.506 -2.036 -5.451
Sn Sm Al
2 1 1
direct
0.118 0.118 0.646
0.882 0.882 0.354
0.500 0.500 0.500
0.000 0.000 0.000
```



[8]
## CePuSnSb (PBE)

Data for an optimized crystal structure of CePuSnSb.

As for the space group: F-43m, No. 216. As for the uncorrected formation energy: -0.5040 eV per atom.

Geometry as POSCAR:
```
CePuSnSb
1.0
5.389 0.000 0.000
2.694 4.667 0.000
2.694 1.556 4.400
Sb Sn Ce Pu
1 1 1 1
direct
0.250 0.250 0.250
0.750 0.750 0.750
0.500 0.500 0.500
0.000 0.000 0.000
```



Number 1: volume 22.19 Å³ per atom, magnetic moment 0.0 μB per formula unit. Number 2: volume 19.70 Å³ per atom, magnetic moment 0.0 μB per formula unit. Number 3: volume 11.29 Å³ per atom, magnetic moment 0.0 μB per formula unit. Number 4: volume 26.46 Å³ per atom, magnetic moment 0.0 μB per formula unit. Number 5: volume 18.72 Å³ per atom, magnetic moment 10.9 μB per formula unit. Number 6: volume 23.55 Å³ per atom, magnetic moment 0.0 μB per formula unit. Number 7: volume 42.37 Å³ per atom, magnetic moment 0.0 μB per formula unit. Number 8: volume 27.66 Å³ per atom, magnetic moment 5.4 μB per formula unit.